Entry 1:
Entry from the Alexandria database: a relaxed structure of NaAg2SbBr6 (PBE-GGA).

Geometry as POSCAR:
```
NaAg2SbBr6
1.0
-6.495 -1.542 3.043
-5.089 -3.622 -3.846
-1.460 -7.455 1.953
Br Sb Ag Na
6 1 2 1
direct
0.924 0.593 0.252
0.232 0.923 0.252
0.122 0.395 0.759
0.724 0.123 0.759
0.395 0.724 0.759
0.593 0.232 0.252
0.326 0.326 0.022
0.007 0.008 0.978
0.524 0.523 0.430
0.815 0.816 0.554
```

Summary:
- ΔE_f (raw) (eV per formula unit) = -6.67
- total energy (eV per atom) = -2.79
- space group = R3 (146)

Entry 2:
Entry from the Alexandria database: a relaxed structure of Na2ScAgBr6 (PBE-GGA).

Geometry as POSCAR:
```
Na2ScAgBr6
1.0
7.268 0.005 0.003
3.638 6.313 0.013
3.637 2.118 6.424
Na Br Ag Sc
2 6 1 1
direct
0.015 0.014 0.956
0.526 0.525 0.424
0.210 0.965 0.252
0.966 0.572 0.251
0.431 0.696 0.766
0.573 0.209 0.252
0.695 0.108 0.768
0.107 0.431 0.766
0.814 0.816 0.557
0.325 0.326 0.023
```

Summary:
- ΔE_f (raw) (eV per formula unit) = -13.54
- total energy (eV per atom) = -3.54
- space group = P1 (1)

Entry 3:
Entry from the Alexandria database: a relaxed structure of NaAgSe2Br (PBE-GGA).

Geometry as POSCAR:
```
NaAgSe2Br
1.0
5.089 0.000 0.000
0.000 5.089 0.000
0.000 0.000 5.607
Se Br Na Ag
2 1 1 1
direct
0.000 0.500 0.000
0.500 0.000 0.000
0.000 0.000 0.500
0.500 0.500 0.500
0.000 0.000 0.000
```

Summary:
- ΔE_f (raw) (eV per formula unit) = -0.43
- total energy (eV per atom) = -2.65
- space group = P4/mmm (123)

Entry 4:
Entry from the Alexandria database: a relaxed structure of NaAgSeBr2 (PBE-GGA).

Geometry as POSCAR:
```
NaAgSeBr2
1.0
-0.501 -3.608 4.130
4.762 1.771 2.125
-2.516 3.482 2.737
Ag Br Se Na
1 2 1 1
direct
0.000 0.000 0.000
0.000 0.500 0.000
0.500 0.000 0.000
0.000 0.000 0.500
0.500 0.500 0.500
```

Summary:
- ΔE_f (raw) (eV per formula unit) = -1.64
- total energy (eV per atom) = -2.53
- space group = P4/mmm (123)

Entry 5:
Entry from the Alexandria database: a relaxed structure of NaAg2SeBr8 (PBE-GGA).

Geometry as POSCAR:
```
NaAg2SeBr8
1.0
7.090 -0.445 -0.004
-0.437 6.648 -0.007
0.005 0.011 8.079
Se Br Ag Na
1 8 2 1
direct
0.000 0.000 0.000
0.624 0.745 0.500
0.659 0.724 0.000
0.857 0.214 0.222
0.857 0.214 0.778
0.341 0.276 0.000
0.143 0.786 0.778
0.143 0.786 0.222
0.376 0.255 0.500
0.500 0.500 0.747
0.500 0.500 0.253
0.000 0.000 0.500
```

Summary:
- ΔE_f (raw) (eV per formula unit) = -4.53
- total energy (eV per atom) = -2.37
- space group = P2/m (10)

Entry 6:
Entry from the Alexandria database: a relaxed structure of NaAgSe2Br (PBE-GGA).

Geometry as POSCAR:
```
NaAgSe2Br
1.0
-2.330 4.801 0.323
-2.746 -1.621 4.291
3.968 1.711 3.186
Ag Se Na Br
1 2 1 1
direct
0.500 0.500 0.500
0.000 0.500 0.000
0.500 0.000 0.000
0.000 0.000 0.000
0.000 0.000 0.500
```

Summary:
- ΔE_f (raw) (eV per formula unit) = 2.13
- total energy (eV per atom) = -2.14
- space group = P4/mmm (123)